Record 1
PuNi6C | PBE | optimized geometry

Properties
total magnetization = 4.56 μB per formula unit
space-group type = R-3m (166)
calculated formation energy = 0.045 eV/atom
VASP energy = -7.235 eV per atom
volume = 12.792 Å³ per atom

Cell: 5.367 5.367 5.367 Å, 57.23 57.23 57.23°
Fractional positions:
1 Pu 0.000 0.000 0.000
2 Ni 0.074 0.597 0.597
3 Ni 0.403 0.403 0.926
4 Ni 0.403 0.926 0.403
5 Ni 0.597 0.074 0.597
6 Ni 0.597 0.597 0.074
7 Ni 0.926 0.403 0.403
8 C 0.500 0.500 0.500

Record 2
Sm4Te3C | PBE | optimized geometry

Properties
uncorrected formation energy = -1088 meV per atom
energy above the lowest structure with this stoichiometry = 0 meV/atom
total magnetization = 0.00 μB per formula unit
space-group type = Cmmm (65)
VASP energy = -5.778 eV per atom
volume = 28.019 Å³ per atom

Cell: 7.537 7.537 4.171 Å, 90.00 90.00 108.89°
Fractional positions:
1 Sm 0.203 0.203 0.500
2 Sm 0.210 0.790 0.000
3 Sm 0.790 0.210 0.000
4 Sm 0.797 0.797 0.500
5 Te 0.000 0.500 0.500
6 Te 0.500 0.000 0.500
7 Te 0.500 0.500 0.000
8 C 0.000 0.000 0.000

Record 3
Al4OsW | PBE | optimized geometry

Properties
total magnetization = 0.00 μB per formula unit
space-group type = F-43m (216)
calculated formation energy = 0.208 eV/atom
VASP energy = -6.317 eV per atom
volume = 14.430 Å³ per atom

Cell: 4.966 4.966 4.966 Å, 60.00 60.00 60.00°
Fractional positions:
1 Al 0.125 0.125 0.125
2 Al 0.125 0.125 0.626
3 Al 0.125 0.626 0.125
4 Al 0.626 0.125 0.125
5 Os 0.750 0.750 0.750
6 W 0.500 0.500 0.500

Record 4
K2TlPt | PBE | optimized geometry

Properties
energy above the lowest structure with this stoichiometry = 90 meV/atom
total magnetization = 0.00 μB per formula unit
space-group type = P4mm (99)
calculated formation energy = -0.048 eV/atom
VASP energy = -2.698 eV per atom
volume = 36.442 Å³ per atom

Cell: 3.836 3.836 9.907 Å, 90.00 90.00 90.00°
Fractional positions:
1 K 0.000 0.000 0.000
2 K 0.500 0.500 0.422
3 Tl 0.500 0.500 0.753
4 Pt 0.000 0.000 0.662